# 1
TaMnSbP2: relaxed, GGA-PBE.

The structure in POSCAR format:
```
TaMnSbP2
1.0
4.267 0.000 0.000
0.000 4.267 0.000
0.000 0.000 4.981
Ta Mn Sb P
1 1 1 2
direct
0.000 0.000 0.000
0.000 0.000 0.500
0.500 0.500 0.000
0.000 0.500 0.500
0.500 0.000 0.500
```

DOS(E_F) = 0.85 states/eV per atom
Total DFT energy (no corrections) = -6.794 eV per atom
Raw formation energy = 0.40 eV per atom

# 2
Mg12Cd5Pb2: relaxed, GGA-PBE.

The structure in POSCAR format:
```
Mg12Cd5Pb2
1.0
6.263 -4.169 0.000
6.263 4.169 0.000
-1.493 0.000 9.116
Mg Cd Pb
12 5 2
direct
0.053 0.053 0.263
0.063 0.692 0.431
0.067 0.428 0.146
0.308 0.937 0.569
0.371 0.371 0.745
0.428 0.067 0.146
0.572 0.933 0.854
0.629 0.629 0.255
0.692 0.063 0.431
0.933 0.572 0.854
0.937 0.308 0.569
0.947 0.947 0.737
0.167 0.167 0.872
0.271 0.271 0.417
0.500 0.500 0.500
0.729 0.729 0.583
0.833 0.833 0.128
0.269 0.731 0.000
0.731 0.269 0.000
```

DOS(E_F) = 0.34 states/eV per atom
Total DFT energy (no corrections) = -1.609 eV per atom
Formation energy = 29 meV/atom

# 3
MoOs: relaxed, GGA-PBE.

The structure in POSCAR format:
```
MoOs
1.0
3.953 0.000 0.000
-1.977 3.424 0.000
0.000 0.000 5.202
Mo Os
2 2
direct
0.333 0.667 0.250
0.667 0.333 0.750
0.000 0.000 0.000
0.000 0.000 0.500
```

DOS(E_F) = 1.12 states/eV per atom
Total DFT energy (no corrections) = -10.329 eV per atom
Formation energy = 701 meV/atom

# 4
Cs2IBr2Cl4: relaxed, GGA-PBE.

The structure in POSCAR format:
```
Cs2IBr2Cl4
1.0
-4.098 4.098 4.889
4.098 -4.098 4.889
4.098 4.098 -4.889
Cs I Br Cl
2 1 2 4
direct
0.250 0.750 0.500
0.750 0.250 0.500
0.000 0.000 0.000
0.337 0.337 0.000
0.663 0.663 0.000
0.219 0.219 0.437
0.219 0.781 0.000
0.781 0.219 0.000
0.781 0.781 0.563
```

DOS(E_F) = 0.20 states/eV per atom
Total DFT energy (no corrections) = -2.461 eV per atom
Raw formation energy = -0.91 eV per atom

# 5
Rb3AgO3: relaxed, GGA-PBE.

The structure in POSCAR format:
```
Rb3AgO3
1.0
8.346 0.000 0.000
-4.173 7.228 0.000
0.000 0.000 5.894
Rb Ag O
6 2 6
direct
0.092 0.729 0.250
0.271 0.363 0.250
0.363 0.092 0.750
0.637 0.908 0.250
0.729 0.637 0.750
0.908 0.271 0.750
0.333 0.667 0.750
0.667 0.333 0.250
0.108 0.701 0.750
0.299 0.407 0.750
0.407 0.108 0.250
0.593 0.892 0.750
0.701 0.593 0.250
0.892 0.299 0.250
```

Total DFT energy (no corrections) = -3.710 eV per atom
Raw formation energy = -0.76 eV per atom

# 6
ZrTc2P: relaxed, GGA-PBE.

The structure in POSCAR format:
```
ZrTc2P
1.0
0.000 3.154 3.154
3.154 0.000 3.154
3.154 3.154 0.000
Zr Tc P
1 2 1
direct
0.000 0.000 0.000
0.250 0.250 0.250
0.500 0.500 0.500
0.750 0.750 0.750
```

DOS(E_F) = 1.27 states/eV per atom
Total DFT energy (no corrections) = -8.662 eV per atom
Formation energy = 11 meV/atom

# 7
Pm2ThCuSe5: relaxed, GGA-PBE.

The structure in POSCAR format:
```
Pm2ThCuSe5
1.0
2.001 -8.803 0.000
2.001 8.803 0.000
0.000 0.000 12.617
Pm Th Cu Se
4 2 2 10
direct
0.110 0.890 0.500
0.116 0.884 0.846
0.884 0.116 0.346
0.890 0.110 0.000
0.176 0.824 0.178
0.824 0.176 0.678
0.449 0.551 0.571
0.551 0.449 0.071
0.014 0.986 0.168
0.303 0.697 0.849
0.316 0.684 0.505
0.343 0.657 0.172
0.494 0.506 0.898
0.506 0.494 0.398
0.657 0.343 0.672
0.684 0.316 0.005
0.697 0.303 0.349
0.986 0.014 0.668
```

DOS(E_F) = 0.15 states/eV per atom
Total DFT energy (no corrections) = -5.804 eV per atom
Raw formation energy = -1.53 eV per atom

# 8
KAg2Rh: relaxed, GGA-PBE.

The structure in POSCAR format:
```
KAg2Rh
1.0
0.000 3.433 3.433
3.433 0.000 3.433
3.433 3.433 0.000
K Ag Rh
1 2 1
direct
0.000 0.000 0.000
0.500 0.500 0.500
0.750 0.750 0.750
0.250 0.250 0.250
```

DOS(E_F) = 0.21 states/eV per atom
Relative energy among the computed polymorphs = 249 meV per atom
Total DFT energy (no corrections) = -2.961 eV per atom
Formation energy = 577 meV/atom

# 9
Pa2HgF8: relaxed, GGA-PBE.

The structure in POSCAR format:
```
Pa2HgF8
1.0
3.578 -5.850 0.000
3.578 5.850 0.000
-0.331 0.000 4.585
Pa Hg F
2 1 8
direct
0.171 0.829 0.000
0.829 0.171 0.000
0.500 0.500 0.500
0.069 0.069 0.244
0.154 0.463 0.956
0.207 0.793 0.500
0.463 0.154 0.956
0.537 0.846 0.044
0.793 0.207 0.500
0.846 0.537 0.044
0.931 0.931 0.756
```

DOS(E_F) = 0.30 states/eV per atom
Total DFT energy (no corrections) = -6.489 eV per atom
Raw formation energy = -3.37 eV per atom

# 10
NbVCrC2: relaxed, GGA-PBE.

The structure in POSCAR format:
```
NbVCrC2
1.0
4.124 0.000 0.000
0.000 4.124 0.000
0.000 0.000 4.909
Nb V Cr C
1 1 1 2
direct
0.000 0.000 0.000
0.500 0.500 0.500
0.000 0.000 0.500
0.000 0.500 0.000
0.500 0.000 0.000
```

DOS(E_F) = 1.17 states/eV per atom
Total DFT energy (no corrections) = -7.427 eV per atom
Formation energy = 2025 meV/atom

# 11
La2MgW: relaxed, GGA-PBE.

The structure in POSCAR format:
```
La2MgW
1.0
3.750 0.000 0.000
0.000 3.750 0.000
0.000 0.000 7.739
La Mg W
2 1 1
direct
0.000 0.000 0.000
0.500 0.500 0.384
0.000 0.000 0.612
0.500 0.500 0.751
```

DOS(E_F) = 0.96 states/eV per atom
Relative energy among the computed polymorphs = 134 meV per atom
Total DFT energy (no corrections) = -5.581 eV per atom
Formation energy = 520 meV/atom

# 12
Cs2ZnPt2: relaxed, GGA-PBE.

The structure in POSCAR format:
```
Cs2ZnPt2
1.0
-3.440 3.440 3.736
3.440 -3.440 3.736
3.440 3.440 -3.736
Cs Zn Pt
2 1 2
direct
0.250 0.750 0.500
0.750 0.250 0.500
0.000 0.000 0.000
0.326 0.326 0.000
0.674 0.674 0.000
```

DOS(E_F) = 0.19 states/eV per atom
Relative energy among the computed polymorphs = 90 meV per atom
Total DFT energy (no corrections) = -2.894 eV per atom
Formation energy = 118 meV/atom

# 13
ZrTi2SnN: relaxed, GGA-PBE.

The structure in POSCAR format:
```
ZrTi2SnN
1.0
4.155 0.000 0.000
0.000 4.155 0.000
0.000 0.000 4.688
Zr Ti Sn N
1 2 1 1
direct
0.000 0.000 0.000
0.000 0.500 0.500
0.500 0.000 0.500
0.500 0.500 0.000
0.000 0.000 0.500
```

DOS(E_F) = 0.92 states/eV per atom
Total DFT energy (no corrections) = -8.238 eV per atom
Raw formation energy = -0.90 eV per atom

# 14
Hg4BiH: relaxed, GGA-PBE.

The structure in POSCAR format:
```
Hg4BiH
1.0
3.264 0.000 0.000
-1.363 6.107 0.000
-0.487 -2.833 8.299
Hg Bi H
4 1 1
direct
0.000 0.000 0.000
0.017 0.964 0.642
0.344 0.574 0.683
0.688 0.282 0.333
0.705 0.759 0.287
0.243 0.278 0.711
```

DOS(E_F) = 0.19 states/eV per atom
Total DFT energy (no corrections) = -1.221 eV per atom

# 15
K2ZnRh: relaxed, GGA-PBE.

The structure in POSCAR format:
```
K2ZnRh
1.0
-2.144 2.144 5.228
2.144 -2.144 5.228
2.144 2.144 -5.228
K Zn Rh
2 1 1
direct
0.250 0.750 0.500
0.750 0.250 0.500
0.000 0.000 0.000
0.500 0.500 0.000
```

DOS(E_F) = 0.56 states/eV per atom
Total DFT energy (no corrections) = -2.160 eV per atom
Formation energy = 545 meV/atom

# 16
YTlCl2: relaxed, GGA-PBE.

The structure in POSCAR format:
```
YTlCl2
1.0
0.000 3.656 3.656
3.656 0.000 3.656
3.656 3.656 0.000
Y Tl Cl
1 1 2
direct
0.000 0.000 0.000
0.500 0.500 0.500
0.250 0.250 0.250
0.750 0.750 0.750
```

DOS(E_F) = 0.73 states/eV per atom
Relative energy among the computed polymorphs = 479 meV per atom
Total DFT energy (no corrections) = -3.991 eV per atom
Raw formation energy = -0.86 eV per atom

# 17
Tm6CdRu2: relaxed, GGA-PBE.

The structure in POSCAR format:
```
Tm6CdRu2
1.0
-4.612 4.653 5.210
4.612 -4.653 5.210
4.612 4.653 -5.210
Tm Cd Ru
12 2 4
direct
0.038 0.242 0.796
0.183 0.287 0.469
0.183 0.713 0.896
0.331 0.017 0.686
0.331 0.644 0.314
0.445 0.242 0.204
0.555 0.758 0.796
0.669 0.356 0.686
0.669 0.983 0.314
0.817 0.287 0.104
0.817 0.713 0.531
0.962 0.758 0.204
0.000 0.000 0.000
0.500 0.500 0.000
0.130 0.630 0.500
0.322 0.000 0.322
0.678 0.000 0.678
0.870 0.370 0.500
```

DOS(E_F) = 0.90 states/eV per atom
Total DFT energy (no corrections) = -5.505 eV per atom
Formation energy = -361 meV/atom

# 18
Pt2PbBr: relaxed, GGA-PBE.

The structure in POSCAR format:
```
Pt2PbBr
1.0
1.914 1.105 6.911
-1.914 1.105 6.911
0.000 -2.210 6.911
Pt Pb Br
2 1 1
direct
0.247 0.247 0.247
0.753 0.753 0.753
0.500 0.500 0.500
0.000 0.000 0.000
```

DOS(E_F) = 0.24 states/eV per atom
Relative energy among the computed polymorphs = 206 meV per atom
Total DFT energy (no corrections) = -4.135 eV per atom
Raw formation energy = 0.23 eV per atom

# 19
OsAuCl2: relaxed, GGA-PBE.

The structure in POSCAR format:
```
OsAuCl2
1.0
2.939 -1.831 0.000
2.939 1.831 0.000
-2.216 0.000 7.810
Os Au Cl
1 1 2
direct
0.000 0.000 0.000
0.262 0.262 0.779
0.520 0.520 0.564
0.711 0.711 0.158
```

DOS(E_F) = 0.38 states/eV per atom
Relative energy among the computed polymorphs = 87 meV per atom
Total DFT energy (no corrections) = -4.241 eV per atom
Raw formation energy = 0.31 eV per atom

# 20
Ac10Tl3Ga3: relaxed, GGA-PBE.

The structure in POSCAR format:
```
Ac10Tl3Ga3
1.0
9.605 0.000 0.000
-4.802 8.318 0.000
0.000 0.000 7.471
Ac Tl Ga
10 3 3
direct
0.000 0.242 0.000
0.000 0.757 0.500
0.242 0.000 0.000
0.243 0.243 0.500
0.333 0.667 0.259
0.333 0.667 0.741
0.667 0.333 0.259
0.667 0.333 0.741
0.757 0.000 0.500
0.758 0.758 0.000
0.000 0.595 0.000
0.405 0.405 0.000
0.595 0.000 0.000
0.000 0.402 0.500
0.402 0.000 0.500
0.598 0.598 0.500
```

DOS(E_F) = 1.12 states/eV per atom
Total DFT energy (no corrections) = -3.880 eV per atom
Formation energy = -301 meV/atom